VASP calculation (GGA-PBE) on an optimized crystal structure of Sc2TaAs.

The calculated formation energy comes out at -238.0 meV per atom. The total energy comes out at -90.35 eV per cell. The calculated density is 6612 kg/m3. The magnetization is 0.083 μB per atom.

The space group is R3m (No. 160, hexagonal axes) and the conventional cell measures 3.4083, 3.4083 and 25.8951 Å, with angles of 90.00, 90.00 and 120.00 degrees. The inequivalent atoms are Sc at (0.0000, 0.0000, 0.0000), Sc at (0.0000, 0.0000, 0.2232), Ta at (0.0000, 0.0000, 0.4675) and As at (0.0000, 0.0000, 0.7362).